Nd2CdCu2Pd5: optimized geometry, GGA-PBE.

Cell lengths 3.984, 9.581, 9.581 Å; angles 90.00, 90.00, 90.00 degrees
Fractional coordinates of all 20 atoms:
Pd 0.500 0.500 0.000
Cd 0.000 0.000 0.000
Cu 0.000 0.382 0.118
Nd 0.000 0.822 0.678
Cu 0.000 0.882 0.382
Pd 0.500 0.291 0.569
Pd 0.500 0.709 0.431
Nd 0.000 0.178 0.322
Nd 0.000 0.322 0.822
Cu 0.000 0.118 0.618
Pd 0.500 0.209 0.069
Cu 0.000 0.618 0.882
Pd 0.500 0.000 0.500
Pd 0.500 0.069 0.791
Pd 0.500 0.569 0.709
Pd 0.500 0.931 0.209
Pd 0.500 0.431 0.291
Pd 0.500 0.791 0.931
Nd 0.000 0.678 0.178
Cd 0.000 0.500 0.500

## Properties
Space-group type: No. 127
Formation energy (eV per atom): -0.59